Record 1
This record from OQMD describes crystalline SmEr2N3 at its relaxed geometry. The functional is PBE-GGA.

Final energy = -8.137 eV/atom

Lattice parameters (Å, degrees): 3.4648 3.4648 8.4908 90.00 90.00 120.00
Space group P-3m1 (No. 164)
One atom of each set of equivalent atoms:
Sm 0.0000 0.0000 0.0000 (multiplicity 1)
Er 0.3333 0.6667 0.3373 (multiplicity 2)
N 0.0000 0.0000 0.5000 (multiplicity 1)
N 0.3333 0.6667 0.8245 (multiplicity 2)

---

Record 2
This record from OQMD describes crystalline Er2Ga3Fe at its relaxed geometry. The functional is PBE-GGA.

Final energy = -4.255 eV/atom

Lattice parameters (Å, degrees): 5.5430 5.5430 5.0850 90.00 90.00 120.00
Space group P6/mmm (No. 191)
One atom of each set of equivalent atoms:
Er 0.3333 0.6667 0.0000 (multiplicity 2)
Ga 0.0000 0.5000 0.5000 (multiplicity 3)
Fe 0.0000 0.0000 0.0000 (multiplicity 1)

---

Record 3
This record from OQMD describes crystalline NiPd3 at its relaxed geometry. The functional is PBE-GGA.

DFT formation energy = 0.021 eV per atom
Final energy = -5.253 eV/atom

Lattice parameters (Å, degrees): 3.8593 3.8593 3.8392 90.00 90.00 90.00
Space group P4/mmm (No. 123)
One atom of each set of equivalent atoms:
Ni 0.0000 0.0000 0.0000 (multiplicity 1)
Pd 0.0000 0.5000 0.5000 (multiplicity 2)
Pd 0.5000 0.5000 0.0000 (multiplicity 1)

---

Record 4
This record from OQMD describes crystalline PrBPO at its relaxed geometry. The functional is PBE-GGA.

Final energy = -6.777 eV/atom
Energy above the lowest structure with this stoichiometry = 53 meV/atom

Lattice parameters (Å, degrees): 3.3125 7.0795 5.9111 90.00 90.00 90.00
Space group Pmc2_1 (No. 26)
One atom of each set of equivalent atoms:
Pr 0.0000 0.2365 0.0000 (multiplicity 2)
B 0.5000 0.3322 0.4539 (multiplicity 2)
P 0.0000 0.1840 0.4918 (multiplicity 2)
O 0.5000 0.4767 0.9345 (multiplicity 2)

---

Record 5
This record from OQMD describes crystalline ZrUW at its relaxed geometry. The functional is PBE-GGA.

DFT formation energy = 0.686 eV per atom
Final energy = -10.248 eV/atom
Energy above the lowest structure with this stoichiometry = 0 meV/atom

Lattice parameters (Å, degrees): 6.5407 6.5407 6.5407 90.00 90.00 90.00
Space group F-43m (No. 216)
One atom of each set of equivalent atoms:
Zr 0.0000 0.0000 0.0000 (multiplicity 4)
U 0.0000 0.0000 0.5000 (multiplicity 4)
W 0.2500 0.2500 0.2500 (multiplicity 4)

---

Record 6
This record from OQMD describes crystalline Zr4Ge3W2N3 at its relaxed geometry. The functional is PBE-GGA.

Final energy = -8.994 eV/atom

Lattice parameters (Å, degrees): 9.9161 5.7028 13.1104 90.00 104.45 90.00
Space group C2/c (No. 15)
One atom of each set of equivalent atoms:
Zr 0.1152 0.0892 0.0977 (multiplicity 8)
Zr 0.2193 0.0808 0.4020 (multiplicity 8)
Ge 0.0000 0.1253 0.7500 (multiplicity 4)
Ge 0.1453 0.4417 0.2509 (multiplicity 8)
W 0.0532 0.4189 0.9198 (multiplicity 8)
N 0.0869 0.2423 0.5000 (multiplicity 8)
N 0.2500 0.2500 0.0000 (multiplicity 4)

---

Record 7
This record from OQMD describes crystalline MgAgSeO at its relaxed geometry. The functional is PBE-GGA.

Final energy = -4.114 eV/atom
Energy above the lowest structure with this stoichiometry = 224 meV/atom

Lattice parameters (Å, degrees): 5.8496 6.7546 7.3159 90.00 90.00 90.00
Space group P2_12_12_1 (No. 19)
One atom of each set of equivalent atoms:
Mg 0.2289 0.1366 0.0488 (multiplicity 4)
Ag 0.1964 0.4488 0.6657 (multiplicity 4)
Se 0.0082 0.3254 0.3563 (multiplicity 4)
O 0.0044 0.2329 0.8801 (multiplicity 4)

---

Record 8
This record from OQMD describes crystalline MgCoGeW at its relaxed geometry. The functional is PBE-GGA.

Final energy = -6.092 eV/atom
Energy above the lowest structure with this stoichiometry = 0 meV/atom

Lattice parameters (Å, degrees): 6.1224 6.1224 6.1224 90.00 90.00 90.00
Space group F-43m (No. 216)
One atom of each set of equivalent atoms:
Mg 0.0000 0.0000 0.0000 (multiplicity 4)
Co 0.2500 0.2500 0.7500 (multiplicity 4)
Ge 0.0000 0.0000 0.5000 (multiplicity 4)
W 0.2500 0.2500 0.2500 (multiplicity 4)

---

Record 9
This record from OQMD describes crystalline HfMgFeSn at its relaxed geometry. The functional is PBE-GGA.

Final energy = -5.925 eV/atom
Energy above the lowest structure with this stoichiometry = 73 meV/atom

Lattice parameters (Å, degrees): 6.6787 6.6787 6.6787 90.00 90.00 90.00
Space group F-43m (No. 216)
One atom of each set of equivalent atoms:
Hf 0.0000 0.0000 0.0000 (multiplicity 4)
Mg 0.0000 0.0000 0.5000 (multiplicity 4)
Fe 0.2500 0.2500 0.7500 (multiplicity 4)
Sn 0.2500 0.2500 0.2500 (multiplicity 4)

---

Record 10
This record from OQMD describes crystalline Nb4NiAuC2 at its relaxed geometry. The functional is PBE-GGA.

Final energy = -8.774 eV/atom

Lattice parameters (Å, degrees): 3.1434 3.1434 13.5042 90.00 90.00 120.00
Space group P-6m2 (No. 187)
One atom of each set of equivalent atoms:
Nb 0.0000 0.0000 0.1468 (multiplicity 2)
Nb 0.3333 0.6667 0.3288 (multiplicity 2)
Ni 0.3333 0.6667 0.0000 (multiplicity 1)
Au 0.0000 0.0000 0.5000 (multiplicity 1)
C 0.6667 0.3333 0.2385 (multiplicity 2)

---

Record 11
This record from OQMD describes crystalline ZnPbSO at its relaxed geometry. The functional is PBE-GGA.

Final energy = -4.047 eV/atom
Energy above the lowest structure with this stoichiometry = 419 meV/atom

Lattice parameters (Å, degrees): 3.0390 15.3647 5.7055 90.00 90.00 90.00
Space group Cmcm (No. 63)
One atom of each set of equivalent atoms:
Zn 0.0000 0.0462 0.2500 (multiplicity 4)
Pb 0.0000 0.3557 0.2500 (multiplicity 4)
S 0.0000 0.3200 0.7500 (multiplicity 4)
O 0.0000 0.5000 0.0000 (multiplicity 4)

---

Record 12
This record from OQMD describes crystalline PrNbN2O at its relaxed geometry. The functional is PBE-GGA.

Final energy = -9.035 eV/atom

Lattice parameters (Å, degrees): 5.7130 5.7262 9.8767 73.50 73.52 60.73
Space group P1 (No. 1)
One atom of each set of equivalent atoms:
Pr 0.0000 0.0000 0.0000 (multiplicity 1)
Pr 0.2211 0.2764 0.2526 (multiplicity 1)
Pr 0.5019 0.5000 0.4942 (multiplicity 1)
Pr 0.7243 0.7817 0.7445 (multiplicity 1)
Nb 0.1292 0.1322 0.6313 (multiplicity 1)
Nb 0.3392 0.3962 0.8786 (multiplicity 1)
Nb 0.5964 0.6641 0.1240 (multiplicity 1)
Nb 0.8508 0.9084 0.3629 (multiplicity 1)
N 0.0269 0.5219 0.0234 (multiplicity 1)
N 0.1483 0.3493 0.7437 (multiplicity 1)
N 0.2222 0.7149 0.2227 (multiplicity 1)
N 0.2580 0.7871 0.7712 (multiplicity 1)
N 0.4808 0.9779 0.9639 (multiplicity 1)
N 0.5060 0.0339 0.5164 (multiplicity 1)
N 0.6510 0.8414 0.2465 (multiplicity 1)
N 0.7735 0.2711 0.2643 (multiplicity 1)
O 0.0772 0.8934 0.5005 (multiplicity 1)
O 0.6035 0.4138 0.9798 (multiplicity 1)
O 0.7109 0.2322 0.7059 (multiplicity 1)
O 0.9538 0.4662 0.4673 (multiplicity 1)

---

Record 13
This record from OQMD describes crystalline LiCoHgW at its relaxed geometry. The functional is PBE-GGA.

Final energy = -4.676 eV/atom
Energy above the lowest structure with this stoichiometry = 531 meV/atom

Lattice parameters (Å, degrees): 6.1850 6.1850 6.1850 90.00 90.00 90.00
Space group F-43m (No. 216)
One atom of each set of equivalent atoms:
Li 0.0000 0.0000 0.0000 (multiplicity 4)
Co 0.2500 0.2500 0.2500 (multiplicity 4)
Hg 0.0000 0.0000 0.5000 (multiplicity 4)
W 0.2500 0.2500 0.7500 (multiplicity 4)

---

Record 14
This record from OQMD describes crystalline Nd2ErCd3Ir2Pt at its relaxed geometry. The functional is PBE-GGA.

DFT formation energy = -0.635 eV per atom
Final energy = -5.139 eV/atom

Lattice parameters (Å, degrees): 4.0206 13.0994 7.5945 90.00 90.00 90.00
Space group Amm2 (No. 38)
One atom of each set of equivalent atoms:
Nd 0.0000 0.2052 0.0000 (multiplicity 4)
Er 0.0000 0.0000 0.6114 (multiplicity 2)
Cd 0.5000 0.0000 0.9502 (multiplicity 2)
Cd 0.5000 0.1273 0.3326 (multiplicity 4)
Ir 0.5000 0.1610 0.7023 (multiplicity 4)
Pt 0.0000 0.0000 0.2119 (multiplicity 2)

---

Record 15
This record from OQMD describes crystalline Li2Mg2AlGeIr2 at its relaxed geometry. The functional is PBE-GGA.

Final energy = -4.619 eV/atom

Lattice parameters (Å, degrees): 4.3589 4.3589 6.1700 90.00 90.00 90.00
Space group P-4m2 (No. 115)
One atom of each set of equivalent atoms:
Li 0.0000 0.5000 0.2481 (multiplicity 2)
Mg 0.0000 0.0000 0.0000 (multiplicity 1)
Mg 0.5000 0.5000 0.5000 (multiplicity 1)
Al 0.0000 0.0000 0.5000 (multiplicity 1)
Ge 0.5000 0.5000 0.0000 (multiplicity 1)
Ir 0.0000 0.5000 0.7527 (multiplicity 2)

---

Record 16
This record from OQMD describes crystalline NaZrNiB at its relaxed geometry. The functional is PBE-GGA.

Final energy = -5.049 eV/atom
Energy above the lowest structure with this stoichiometry = 45 meV/atom

Lattice parameters (Å, degrees): 6.0039 6.0039 6.0039 90.00 90.00 90.00
Space group F-43m (No. 216)
One atom of each set of equivalent atoms:
Na 0.0000 0.0000 0.0000 (multiplicity 4)
Zr 0.2500 0.2500 0.7500 (multiplicity 4)
Ni 0.0000 0.0000 0.5000 (multiplicity 4)
B 0.2500 0.2500 0.2500 (multiplicity 4)

---

Record 17
This record from OQMD describes crystalline BaNdGa4Pt2 at its relaxed geometry. The functional is PBE-GGA.

Final energy = -4.590 eV/atom

Lattice parameters (Å, degrees): 7.1319 4.3410 11.3580 90.00 90.00 90.00
Space group Amm2 (No. 38)
One atom of each set of equivalent atoms:
Ba 0.0000 0.0000 0.0000 (multiplicity 2)
Nd 0.5000 0.0000 0.8714 (multiplicity 2)
Ga 0.2007 0.0000 0.2816 (multiplicity 4)
Ga 0.3131 0.0000 0.5955 (multiplicity 4)
Pt 0.0000 0.0000 0.7220 (multiplicity 2)
Pt 0.5000 0.0000 0.1491 (multiplicity 2)

---

Record 18
This record from OQMD describes crystalline BeTlPt at its relaxed geometry. The functional is PBE-GGA.

Final energy = -4.010 eV/atom
Energy above the lowest structure with this stoichiometry = 0 meV/atom

Lattice parameters (Å, degrees): 5.8817 5.8817 5.8817 90.00 90.00 90.00
Space group F-43m (No. 216)
One atom of each set of equivalent atoms:
Be 0.0000 0.0000 0.0000 (multiplicity 4)
Tl 0.2500 0.2500 0.2500 (multiplicity 4)
Pt 0.2500 0.2500 0.7500 (multiplicity 4)

---

Record 19
This record from OQMD describes crystalline PmGaAsO at its relaxed geometry. The functional is PBE-GGA.

Final energy = -5.771 eV/atom
Energy above the lowest structure with this stoichiometry = 172 meV/atom

Lattice parameters (Å, degrees): 4.7380 6.0737 5.9121 90.00 90.00 90.00
Space group Pmc2_1 (No. 26)
One atom of each set of equivalent atoms:
Pm 0.0000 0.2466 0.0000 (multiplicity 2)
Ga 0.5000 0.1546 0.5968 (multiplicity 2)
As 0.0000 0.2620 0.5018 (multiplicity 2)
O 0.5000 0.1597 0.9613 (multiplicity 2)

---

Record 20
This record from OQMD describes crystalline CsNbAgO3 at its relaxed geometry. The functional is PBE-GGA.

Final energy = -6.433 eV/atom

Lattice parameters (Å, degrees): 13.3554 3.3238 10.1984 90.00 90.00 90.00
Space group Pnma (No. 62)
One atom of each set of equivalent atoms:
Cs 0.2431 0.2500 0.0343 (multiplicity 4)
Nb 0.0056 0.2500 0.3537 (multiplicity 4)
Ag 0.0057 0.2500 0.8993 (multiplicity 4)
O 0.0675 0.2500 0.5405 (multiplicity 4)
O 0.0872 0.7500 0.3050 (multiplicity 4)
O 0.1090 0.7500 0.7454 (multiplicity 4)

---

Record 21
This record from OQMD describes crystalline Na4Sn2PdAu at its relaxed geometry. The functional is PBE-GGA.

Final energy = -2.972 eV/atom

Lattice parameters (Å, degrees): 4.8952 4.8952 6.9298 90.00 90.00 90.00
Space group P-4m2 (No. 115)
One atom of each set of equivalent atoms:
Na 0.0000 0.0000 0.0000 (multiplicity 1)
Na 0.0000 0.5000 0.2489 (multiplicity 2)
Na 0.5000 0.5000 0.5000 (multiplicity 1)
Sn 0.0000 0.5000 0.7609 (multiplicity 2)
Pd 0.5000 0.5000 0.0000 (multiplicity 1)
Au 0.0000 0.0000 0.5000 (multiplicity 1)

---

Record 22
This record from OQMD describes crystalline HfThCd at its relaxed geometry. The functional is PBE-GGA.

DFT formation energy = 0.765 eV per atom
Final energy = -5.323 eV/atom

Lattice parameters (Å, degrees): 7.0530 7.0530 7.0530 90.00 90.00 90.00
Space group F-43m (No. 216)
One atom of each set of equivalent atoms:
Hf 0.0000 0.0000 0.0000 (multiplicity 4)
Th 0.2500 0.2500 0.2500 (multiplicity 4)
Cd 0.2500 0.2500 0.7500 (multiplicity 4)

---

Record 23
This record from OQMD describes crystalline DyPa2Te4 at its relaxed geometry. The functional is PBE-GGA.

Final energy = -5.998 eV/atom

Lattice parameters (Å, degrees): 7.4692 7.4692 3.7437 90.00 90.00 90.00
Space group P-42m (No. 111)
One atom of each set of equivalent atoms:
Dy 0.0000 0.0000 0.0000 (multiplicity 1)
Pa 0.0000 0.5000 0.0000 (multiplicity 2)
Te 0.2488 0.2488 0.4945 (multiplicity 4)

---

Record 24
This record from OQMD describes crystalline LiGdW at its relaxed geometry. The functional is PBE-GGA.

Final energy = -5.251 eV/atom

Lattice parameters (Å, degrees): 6.2743 6.2743 6.2743 90.00 90.00 90.00
Space group F-43m (No. 216)
One atom of each set of equivalent atoms:
Li 0.0000 0.0000 0.0000 (multiplicity 4)
Gd 0.2500 0.2500 0.7500 (multiplicity 4)
W 0.2500 0.2500 0.2500 (multiplicity 4)